No. 1
VASP calculation (PBE) on crystalline Pr6TeAs2Pb3 at its relaxed geometry.

Cell: 20.081 4.352 9.303 Å, 90.00 108.59 90.00°
Space group C2/m (No. 12)
Symmetry-distinct sites (fractional):
Pr 0.009 0.000 0.253
Pr 0.167 0.500 0.103
Pr 0.174 0.500 0.565
Te 0.000 0.500 0.000
As 0.168 0.000 0.332
Pb 0.000 0.500 0.500
Pb 0.163 0.000 0.829

Raw formation energy, eV per atom: -0.989
Size of the total moment, μB/atom: 0.000
Crystal system: monoclinic
Total DFT energy (no corrections), eV per cell: -128.219
N(E_F), states/eV per cell: 11.4

=====

No. 2
VASP calculation (PBE) on crystalline La3Sm13 at its relaxed geometry.

Cell: 7.382 11.788 12.785 Å, 90.00 90.00 90.00°
Space group Amm2 (No. 38)
Symmetry-distinct sites (fractional):
La 0.000 0.000 0.000
La 0.251 0.000 0.748
Sm 0.000 0.000 0.497
Sm 0.000 0.249 0.166
Sm 0.250 0.000 0.250
Sm 0.251 0.248 0.416
Sm 0.500 0.000 0.001
Sm 0.500 0.000 0.498
Sm 0.500 0.247 0.166

Size of the total moment, μB/atom: 0.000
Crystal system: orthorhombic
E above lowest polymorph, eV/atom: 0.0151
Formation energy from the elements, eV/atom: 0.033
Total DFT energy (no corrections), eV per cell: -151.210
N(E_F), states/eV per cell: 56.8

=====

No. 3
VASP calculation (PBE) on crystalline Ca3AcHg4 at its relaxed geometry.

Cell: 5.519 5.519 7.603 Å, 90.00 90.00 90.00°
Space group P4/mmm (No. 123)
Symmetry-distinct sites (fractional):
Ca 0.000 0.000 0.000
Ca 0.000 0.000 0.500
Ca 0.500 0.500 0.000
Ac 0.500 0.500 0.500
Hg 0.000 0.500 0.239

Size of the total moment, μB/atom: 0.000
Crystal system: tetragonal
Formation energy from the elements, eV/atom: -0.536
Total DFT energy (no corrections), eV per cell: -15.605
N(E_F), states/eV per cell: 6.4

=====

No. 4
VASP calculation (PBE) on crystalline NaSr2SbN at its relaxed geometry.

Cell: 5.190 5.190 4.879 Å, 90.00 90.00 90.00°
Space group P4/mmm (No. 123)
Symmetry-distinct sites (fractional):
Na 0.000 0.000 0.000
Sr 0.000 0.500 0.500
Sb 0.500 0.500 0.000
N 0.000 0.000 0.500

Raw formation energy, eV per atom: -0.570
Size of the total moment, μB/atom: 0.148
Crystal system: tetragonal
E above lowest polymorph, eV/atom: 0.0000
Total DFT energy (no corrections), eV per cell: -19.979
N(E_F), states/eV per cell: 4.4

=====

No. 5
VASP calculation (PBE) on crystalline Hf3IrC at its relaxed geometry.

Cell: 3.289 11.678 8.807 Å, 90.00 90.00 90.00°
Space group Cmcm (No. 63)
Symmetry-distinct sites (fractional):
Hf 0.000 0.056 0.250
Hf 0.000 0.370 0.057
Ir 0.000 0.255 0.750
C 0.000 0.000 0.000

Size of the total moment, μB/atom: 0.000
Crystal system: orthorhombic
E above lowest polymorph, eV/atom: 0.0000
Formation energy from the elements, eV/atom: -0.811
Total DFT energy (no corrections), eV per cell: -208.008
N(E_F), states/eV per cell: 21.0

=====

No. 6
VASP calculation (PBE) on crystalline DyTmZnCo at its relaxed geometry.

Cell: 6.836 6.836 6.836 Å, 90.00 90.00 90.00°
Space group F-43m (No. 216)
Symmetry-distinct sites (fractional):
Dy 0.000 0.000 0.000
Tm 0.000 0.000 0.500
Zn 0.250 0.250 0.250
Co 0.250 0.250 0.750

Size of the total moment, μB/atom: 0.000
Crystal system: cubic
E above lowest polymorph, eV/atom: 0.0305
Formation energy from the elements, eV/atom: -0.251
Total DFT energy (no corrections), eV per cell: -73.829
N(E_F), states/eV per cell: 11.5

=====

No. 7
VASP calculation (PBE) on crystalline BaMgTl2Cd4 at its relaxed geometry.

Cell: 5.2159 5.2159 28.7871 Å, 90.00 90.00 120.00°
Space group R-3m (No. 166, hexagonal axes)
Symmetry-distinct sites (fractional):
Ba 0.0000 0.0000 0.0000
Mg 0.0000 0.0000 0.5000
Tl 0.0000 0.0000 0.2492
Cd 0.0000 0.0000 0.1358
Cd 0.0000 0.0000 0.3981

Size of the total moment, μB/atom: 0.000
Crystal system: trigonal
Formation energy from the elements, eV/atom: -0.116
Total DFT energy (no corrections), eV per cell: -38.521
N(E_F), states/eV per cell: 9.3

=====

No. 8
VASP calculation (PBE) on crystalline SrGePbCl6 at its relaxed geometry.

Cell: 6.648 6.648 12.954 Å, 90.00 90.00 90.00°
Space group P4_2nm (No. 102)
Symmetry-distinct sites (fractional):
Sr 0.000 0.000 0.000
Ge 0.000 0.000 0.333
Pb 0.000 0.000 0.668
Cl 0.190 0.190 0.178
Cl 0.191 0.191 0.490
Cl 0.210 0.210 0.833

Raw formation energy, eV per atom: -1.451
Size of the total moment, μB/atom: 0.000
Crystal system: tetragonal
Total DFT energy (no corrections), eV per cell: -68.299
N(E_F), states/eV per cell: 0.0

=====

Repeat the fifth record exactly.
VASP calculation (PBE) on crystalline Hf3IrC at its relaxed geometry.

Cell: 3.289 11.678 8.807 Å, 90.00 90.00 90.00°
Space group Cmcm (No. 63)
Symmetry-distinct sites (fractional):
Hf 0.000 0.056 0.250
Hf 0.000 0.370 0.057
Ir 0.000 0.255 0.750
C 0.000 0.000 0.000

Size of the total moment, μB/atom: 0.000
Crystal system: orthorhombic
E above lowest polymorph, eV/atom: 0.0000
Formation energy from the elements, eV/atom: -0.811
Total DFT energy (no corrections), eV per cell: -208.008
N(E_F), states/eV per cell: 21.0

=====

Question: total DFT energy (no corrections) of number 2 (La3Sm13)?
Answer: -151.210 eV per cell

=====

Question: Which of these has the lowest N(E_F)?
Answer: SrGePbCl6

=====

Question: Among the records above, which one has the highest N(E_F)?
Answer: La3Sm13